Below is NaSc3Sn after structural relaxation, with properties calculated at the PBE level.

```
NaSc3Sn
1.0
-4.7706 1.7190 0.4090
-0.9698 -3.5315 3.5312
1.4771 3.2334 3.6393
Sc Sn Na
3 1 1
Cartesian
0.7385 1.6167 1.8196
-0.4849 -1.7657 1.7656
-2.3853 0.8595 0.2045
-2.1317 0.7105 3.7897
0.0000 0.0000 0.0000
```

Distance to the lowest polymorph of the same formula in eV per formula unit: 2.00
ΔH_f (0 K) in eV per atom: 0.748

=====

Below is NaScSn6 after structural relaxation, with properties calculated at the PBE level.

```
NaScSn6
1.0
4.6509 0.0000 0.0000
0.0000 4.6509 0.0000
0.0000 0.0000 9.4327
Sc Sn Na
1 6 1
Cartesian
0.0000 0.0000 4.7163
2.3254 2.3254 4.7163
0.0000 2.3254 2.4034
2.3254 0.0000 2.4034
2.3254 0.0000 7.0293
0.0000 2.3254 7.0293
2.3254 2.3254 0.0000
0.0000 0.0000 0.0000
```

ΔH_f (0 K) in eV per atom: -0.200

=====

Below is Na2ScSnTe4 after structural relaxation, with properties calculated at the PBE level.

```
Na2ScSnTe4
1.0
-2.0960 -0.6503 3.6789
6.5222 -1.7931 3.3990
-1.1165 7.8535 0.7521
Na Te Sn Sc
2 4 1 1
Cartesian
2.7029 3.0302 2.0755
-1.6062 3.6016 2.2155
2.9459 4.4243 4.9544
4.5289 0.4134 2.6534
0.3638 0.9858 2.8755
0.8768 5.6470 1.4977
0.0000 0.0000 0.0000
2.2131 -1.2217 3.5390
```

=====

Below is NaScTlSn after structural relaxation, with properties calculated at the PBE level.

```
NaScTlSn
1.0
5.1825 0.0000 0.0000
2.5913 4.4882 0.0000
2.5913 1.4961 4.2315
Na Sc Sn Tl
1 1 1 1
Cartesian
5.1825 2.9921 2.1158
0.0000 0.0000 0.0000
2.5913 1.4961 1.0579
7.7738 4.4882 3.1736
```

ΔH_f (0 K) in eV per atom: -0.209

=====

Below is NaSr2Sc2 after structural relaxation, with properties calculated at the PBE level.

```
NaSr2Sc2
1.0
10.1722 0.0000 0.0000
0.0000 10.1722 0.0000
0.0000 0.0000 3.8498
Sc Sr Na
4 4 2
Cartesian
9.1386 6.1197 0.0000
4.0525 9.1386 0.0000
1.0336 4.0525 0.0000
6.1197 1.0336 0.0000
3.1997 1.8864 1.9249
6.9725 8.2858 1.9249
1.8864 6.9725 1.9249
8.2858 3.1997 1.9249
0.0000 0.0000 0.0000
5.0861 5.0861 0.0000
```

ΔH_f (0 K) in eV per atom: 0.422

=====

Below is Na2SrSc after structural relaxation, with properties calculated at the PBE level.

```
Na2SrSc
1.0
9.2473 0.0000 0.0000
0.0000 9.2473 0.0000
4.6237 4.6237 3.5188
Sr Sc Na
2 2 4
Cartesian
0.0000 0.0000 0.0000
9.2473 4.6237 1.7594
4.6237 4.6237 0.0000
4.6237 9.2473 1.7594
6.7561 2.3118 0.8797
2.4912 6.9355 0.8797
6.9355 7.1149 2.6391
11.5592 11.3798 2.6391
```

Distance to the lowest polymorph of the same formula in eV per formula unit: 0.65
ΔH_f (0 K) in eV per atom: 0.541

=====

Below is Na2SrSc after structural relaxation, with properties calculated at the PBE level.

```
Na2SrSc
1.0
-1.5207 -2.3063 2.3053
1.9577 -2.6475 1.4506
3.4497 6.3988 11.4849
Sc Na Sr
1 2 1
Cartesian
0.0000 0.0000 0.0000
2.6302 4.4022 8.9469
1.2565 -2.9572 6.2939
1.9434 0.7225 7.6204
```

Distance to the lowest polymorph of the same formula in eV per formula unit: 0.26
ΔH_f (0 K) in eV per atom: 0.443

=====

Below is Na3SrSc after structural relaxation, with properties calculated at the PBE level.

```
Na3SrSc
1.0
-4.5735 -3.4861 -1.8494
0.5185 -3.3372 5.0084
-3.9121 3.6332 2.8259
Na Sr Sc
3 1 1
Cartesian
-2.2867 -1.7430 -0.9247
0.2592 -1.6686 2.5042
-1.9560 1.8166 1.4129
-3.9835 -1.5951 2.9924
0.0000 0.0000 0.0000
```

Distance to the lowest polymorph of the same formula in eV per formula unit: 0.00
ΔH_f (0 K) in eV per atom: 0.665

=====

Below is Na2SrSc after structural relaxation, with properties calculated at the PBE level.

```
Na2SrSc
1.0
-2.0977 -4.1573 -3.5777
-4.0721 1.3564 -4.0077
1.3975 0.0557 -5.7033
Sr Sc Na
1 1 2
Cartesian
-2.3862 -1.3726 -6.6443
0.0000 0.0000 0.0000
-3.5793 -2.0589 -9.9665
-1.1931 -0.6863 -3.3222
```

Distance to the lowest polymorph of the same formula in eV per formula unit: 0.00
ΔH_f (0 K) in eV per atom: 0.379

=====

Below is NaSr2Sc after structural relaxation, with properties calculated at the PBE level.

```
NaSr2Sc
1.0
9.3703 0.0000 0.0000
0.0000 9.3703 0.0000
4.6852 4.6852 3.7120
Sr Sc Na
4 2 2
Cartesian
11.7129 11.5757 2.7840
6.8905 2.3426 0.9280
7.0278 7.1650 2.7840
2.4799 7.0278 0.9280
0.0000 0.0000 0.0000
9.3703 4.6852 1.8560
4.6852 9.3703 1.8560
4.6852 4.6852 0.0000
```

Distance to the lowest polymorph of the same formula in eV per formula unit: 1.20
ΔH_f (0 K) in eV per atom: 0.514

=====

Below is NaSr2Sc after structural relaxation, with properties calculated at the PBE level.

```
NaSr2Sc
1.0
3.7086 0.0000 0.0000
1.8543 3.2118 0.0000
1.8543 1.0706 13.4426
Na Sr Sc
1 2 1
Cartesian
3.7086 2.1412 6.7213
5.5630 3.2118 3.3502
1.8543 1.0706 10.0924
0.0000 0.0000 0.0000
```

Distance to the lowest polymorph of the same formula in eV per formula unit: 0.86
ΔH_f (0 K) in eV per atom: 0.429

=====

Below is Na3SrSc after structural relaxation, with properties calculated at the PBE level.

```
Na3SrSc
1.0
6.1382 0.0000 0.0000
0.0000 6.1382 0.0000
0.0000 0.0000 6.1382
Sc Na Sr
1 3 1
Cartesian
3.0691 3.0691 3.0691
0.0000 0.0000 3.0691
0.0000 3.0691 0.0000
3.0691 0.0000 0.0000
0.0000 0.0000 0.0000
```

Distance to the lowest polymorph of the same formula in eV per formula unit: 1.72
ΔH_f (0 K) in eV per atom: 1.008

=====

Below is NaSr2Sc after structural relaxation, with properties calculated at the PBE level.

```
NaSr2Sc
1.0
-3.1457 2.0422 -1.4836
-2.4972 -2.8638 1.3527
-0.9165 4.9090 8.7006
Na Sr Sc
1 2 1
Cartesian
-3.2797 2.0437 4.2849
-0.7073 3.7884 6.7146
-0.2092 1.1205 1.9860
-2.8215 -0.4108 -0.0654
```

Distance to the lowest polymorph of the same formula in eV per formula unit: 0.00
ΔH_f (0 K) in eV per atom: 0.214

=====

Below is Na2SrSc2 after structural relaxation, with properties calculated at the PBE level.

```
Na2SrSc2
1.0
9.8118 0.0000 0.0000
0.0000 9.8118 0.0000
0.0000 0.0000 3.4573
Na Sc Sr
4 4 2
Cartesian
1.7632 6.6691 1.7287
6.6691 8.0486 1.7287
3.1427 1.7632 1.7287
8.0486 3.1427 1.7287
1.0985 3.8074 0.0000
6.0044 1.0985 0.0000
3.8074 8.7133 0.0000
8.7133 6.0044 0.0000
0.0000 0.0000 0.0000
4.9059 4.9059 0.0000
```

Distance to the lowest polymorph of the same formula in eV per formula unit: 0.00
ΔH_f (0 K) in eV per atom: 0.480

=====

Below is Na2SrSc2 after structural relaxation, with properties calculated at the PBE level.

```
Na2SrSc2
1.0
-1.5632 3.5584 -2.4284
1.7702 -1.8247 -3.8132
-7.0828 -3.2291 -4.4969
Sr Sc Na
1 2 2
Cartesian
0.0000 0.0000 0.0000
-5.6880 -1.6262 -7.3704
-1.1878 0.1309 -3.3681
-4.2712 0.5981 -5.0231
-2.6045 -2.0934 -5.7154
```

Distance to the lowest polymorph of the same formula in eV per formula unit: 0.30
ΔH_f (0 K) in eV per atom: 0.539

=====

Below is NaSr2Sc after structural relaxation, with properties calculated at the PBE level.

```
NaSr2Sc
1.0
-3.6734 -4.4888 1.9960
-0.6088 -1.0168 6.0185
-5.2678 1.3760 2.8256
Sr Sc Na
2 1 1
Cartesian
-7.1625 -3.0972 8.1300
-2.3875 -1.0324 2.7100
-4.7750 -2.0648 5.4200
0.0000 0.0000 0.0000
```

Distance to the lowest polymorph of the same formula in eV per formula unit: 0.37
ΔH_f (0 K) in eV per atom: 0.308

=====

Below is NaSrSc2Ti after structural relaxation, with properties calculated at the PBE level.

```
NaSrSc2Ti
1.0
5.1610 0.0000 0.0000
0.0000 5.8053 0.0000
0.0000 0.0000 5.1610
Ti Sc Sr Na
1 2 1 1
Cartesian
0.0000 0.0000 0.0000
0.0000 0.0000 2.5805
2.5805 0.0000 0.0000
2.5805 2.9026 2.5805
0.0000 2.9026 0.0000
```

ΔH_f (0 K) in eV per atom: 0.608

=====

Below is NaSrSc2Tl after structural relaxation, with properties calculated at the PBE level.

```
NaSrSc2Tl
1.0
5.5463 0.0000 0.0000
0.0000 5.5395 0.0000
0.0000 0.0000 5.5463
Sc Sr Na Tl
2 1 1 1
Cartesian
0.0000 0.0000 2.7731
2.7731 0.0000 0.0000
0.0000 0.0000 0.0000
0.0000 2.7698 0.0000
2.7731 2.7698 2.7731
```

ΔH_f (0 K) in eV per atom: 1.172

=====

Below is NaSc2Ta after structural relaxation, with properties calculated at the PBE level.

```
NaSc2Ta
1.0
0.0000 3.5552 3.5552
3.5552 0.0000 3.5552
3.5552 3.5552 0.0000
Ta Sc Na
1 2 1
Cartesian
3.5552 3.5552 3.5552
1.7776 1.7776 1.7776
5.3328 5.3328 5.3328
0.0000 0.0000 0.0000
```

Distance to the lowest polymorph of the same formula in eV per formula unit: 0.19
ΔH_f (0 K) in eV per atom: 0.614

=====

Below is NaSc2Ta after structural relaxation, with properties calculated at the PBE level.

```
NaSc2Ta
1.0
1.7565 0.0000 11.8272
-0.8783 1.5212 11.8272
-0.8783 -1.5212 11.8272
Na Ta Sc
1 1 2
Cartesian
0.0000 0.0000 17.7407
0.0000 0.0000 0.0000
0.0000 0.0000 2.7797
0.0000 0.0000 32.7018
```

Distance to the lowest polymorph of the same formula in eV per formula unit: 0.00
ΔH_f (0 K) in eV per atom: 0.567

=====

Below is NaSc3Ta after structural relaxation, with properties calculated at the PBE level.

```
NaSc3Ta
1.0
5.2698 0.0000 0.0000
0.0000 5.2698 0.0000
0.0000 0.0000 5.2698
Sc Na Ta
3 1 1
Cartesian
0.0000 2.6349 0.0000
0.0000 0.0000 2.6349
2.6349 0.0000 0.0000
2.6349 2.6349 2.6349
0.0000 0.0000 0.0000
```

Distance to the lowest polymorph of the same formula in eV per formula unit: 0.00
ΔH_f (0 K) in eV per atom: 0.654

=====

Below is Na2Sc2Ta after structural relaxation, with properties calculated at the PBE level.

```
Na2Sc2Ta
1.0
8.0488 0.0000 0.0000
0.0000 8.0488 0.0000
0.0000 0.0000 3.6152
Na Ta Sc
4 2 4
Cartesian
5.1267 6.9465 1.8076
6.9465 2.9221 1.8076
2.9221 1.1023 1.8076
1.1023 5.1267 1.8076
4.0244 4.0244 0.0000
0.0000 0.0000 0.0000
2.6447 6.6691 0.0000
5.4041 1.3797 0.0000
6.6691 5.4041 0.0000
1.3797 2.6447 0.0000
```

Distance to the lowest polymorph of the same formula in eV per formula unit: 1.84
ΔH_f (0 K) in eV per atom: 0.986

=====

Below is NaScTa3 after structural relaxation, with properties calculated at the PBE level.

```
NaScTa3
1.0
4.8891 0.0000 0.0000
0.0000 4.8891 0.0000
0.0000 0.0000 4.8891
Ta Sc Na
3 1 1
Cartesian
2.4446 0.0000 0.0000
0.0000 0.0000 2.4446
0.0000 2.4446 0.0000
0.0000 0.0000 0.0000
2.4446 2.4446 2.4446
```

Distance to the lowest polymorph of the same formula in eV per formula unit: 0.00
ΔH_f (0 K) in eV per atom: 1.983

=====

Below is Na3ScTa after structural relaxation, with properties calculated at the PBE level.

```
Na3ScTa
1.0
5.7075 0.0000 0.0000
0.0000 5.7075 0.0000
0.0000 0.0000 5.7075
Na Sc Ta
3 1 1
Cartesian
2.8537 0.0000 0.0000
0.0000 2.8537 0.0000
0.0000 0.0000 2.8537
2.8537 2.8537 2.8537
0.0000 0.0000 0.0000
```

Distance to the lowest polymorph of the same formula in eV per formula unit: 0.00
ΔH_f (0 K) in eV per atom: 1.734

=====

Below is Na2Sc2Ta after structural relaxation, with properties calculated at the PBE level.

```
Na2Sc2Ta
1.0
3.6804 0.0000 0.0000
0.0000 3.6804 0.0000
1.8402 1.8402 9.1893
Na Sc Ta
2 2 1
Cartesian
3.6804 1.8402 4.5946
1.8402 3.6804 4.5946
1.8402 1.8402 1.5348
3.6804 3.6804 7.6545
0.0000 0.0000 0.0000
```

Distance to the lowest polymorph of the same formula in eV per formula unit: 0.00
ΔH_f (0 K) in eV per atom: 0.617

=====

Below is NaSc2Ta after structural relaxation, with properties calculated at the PBE level.

```
NaSc2Ta
1.0
-2.2618 -3.3048 -1.6728
1.6133 -2.6433 3.0407
-7.9772 -0.7641 6.6654
Sc Na Ta
4 2 2
Cartesian
-6.2608 -2.7468 5.4467
-3.2549 -2.6579 0.9650
-1.2201 -2.1852 3.3936
-6.5157 -5.8344 6.2613
-3.3441 -3.1907 5.1951
-0.3243 -2.9741 0.6839
0.0000 0.0000 0.0000
-5.2817 -3.5215 2.8383
```

Distance to the lowest polymorph of the same formula in eV per formula unit: 1.98
ΔH_f (0 K) in eV per atom: 1.061

=====

Below is NaTb2Sc after structural relaxation, with properties calculated at the PBE level.

```
NaTb2Sc
1.0
-2.2970 2.1543 2.0649
0.4469 -2.3281 2.9260
6.9939 4.8116 2.7601
Na Sc Tb
1 1 2
Cartesian
2.5719 2.3189 3.8755
-0.9251 -0.0869 2.4955
5.5296 3.8042 2.1822
1.4643 1.0074 0.5779
```

Distance to the lowest polymorph of the same formula in eV per formula unit: 0.00
ΔH_f (0 K) in eV per atom: 0.149

=====

Below is NaTbSc after structural relaxation, with properties calculated at the PBE level.

```
NaTbSc
1.0
3.4225 0.0000 0.0000
-1.7112 2.9639 0.0000
0.0000 0.0000 8.9318
Tb Na Sc
1 1 1
Cartesian
0.0000 1.9760 5.7392
0.0000 0.0000 0.0600
1.7112 0.9880 3.1326
```

Distance to the lowest polymorph of the same formula in eV per formula unit: 0.00
ΔH_f (0 K) in eV per atom: 0.184

=====

no.,D(E_F) (states/eV/atom),uncorrected energy (eV/atom)
1,1.154,-4.12
2,0.424,-4.16
3,0.266,-4.03
4,0.656,-3.71
5,1.259,-3.05
6,1.563,-2.12
7,1.426,-2.22
8,1.909,-1.73
9,1.364,-2.28
10,1.704,-2.24
11,0.979,-2.32
12,2.222,-1.39
13,1.505,-2.54
14,1.504,-2.92
15,1.441,-2.86
16,1.769,-2.45
17,2.045,-4.10
18,0.980,-2.43
19,0.688,-5.84
20,1.645,-5.89
21,1.297,-5.78
22,1.285,-4.45
23,2.357,-6.66
24,1.230,-2.69
25,1.454,-4.81
26,0.640,-5.40
27,0.976,-4.08
28,1.523,-3.91